# 1
Computed, not measured: crystalline InCo2Mo at its relaxed geometry at the PBE level of DFT. Values from VASP.

```
&SYSTEM
  ibrav = 0, nat = 4, ntyp = 3
/
ATOMIC_SPECIES
Co 58.93 Co.upf
In 114.82 In.upf
Mo 95.94 Mo.upf
CELL_PARAMETERS angstrom
-2.757 1.834 3.413
-4.431 1.185 1.255
-1.430 -3.720 2.228
ATOMIC_POSITIONS crystal
Co 0.737 0.737 0.740
Co 0.007 0.007 0.030
In 0.492 0.492 0.539
Mo 0.264 0.264 0.190
```

Density of states at the Fermi level   4.53 states/eV/f.u.
Energy of formation from the pure elements   0.2449 eV per atom
Total moment   0.64 μB/f.u.


# 2
Computed, not measured: crystalline ScTeAs at its relaxed geometry at the PBE level of DFT. Values from VASP.

```
&SYSTEM
  ibrav = 0, nat = 3, ntyp = 3
/
ATOMIC_SPECIES
As 74.92 As.upf
Te 127.60 Te.upf
Sc 44.96 Sc.upf
CELL_PARAMETERS angstrom
4.794 0.000 0.000
2.397 4.152 0.000
2.397 1.384 3.914
ATOMIC_POSITIONS crystal
As 0.250 0.250 0.250
Te 0.500 0.500 0.500
Sc 0.000 0.000 0.000
```

Uncorrected formation energy   -0.230 eV/atom
Density of states at the Fermi level   2.10 states/eV/f.u.
Total moment   0.00 μB/f.u.


# 3
Computed, not measured: crystalline Co2SnH at its relaxed geometry at the PBE level of DFT. Values from VASP.

```
&SYSTEM
  ibrav = 0, nat = 8, ntyp = 3
/
ATOMIC_SPECIES
H 1.01 H.upf
Sn 118.71 Sn.upf
Co 58.93 Co.upf
CELL_PARAMETERS angstrom
-0.169 -5.278 0.838
5.114 0.084 1.558
1.534 -2.082 4.252
ATOMIC_POSITIONS crystal
H 0.500 0.500 0.000
H 0.250 0.750 0.500
Sn 0.000 0.000 0.000
Sn 0.750 0.250 0.500
Co 0.875 0.716 0.750
Co 0.375 0.534 0.750
Co 0.466 0.125 0.250
Co 0.284 0.625 0.250
```

Density of states at the Fermi level   2.26 states/eV/f.u.
Total moment   1.24 μB/f.u.
Energy relative to the lowest polymorph listed for this composition   0 meV per atom


# 4
Computed, not measured: crystalline Pr2YTmBi5 at its relaxed geometry at the PBE level of DFT. Values from VASP.

```
&SYSTEM
  ibrav = 0, nat = 9, ntyp = 4
/
ATOMIC_SPECIES
Pr 140.91 Pr.upf
Bi 208.98 Bi.upf
Y 88.91 Y.upf
Tm 168.93 Tm.upf
CELL_PARAMETERS angstrom
-4.049 3.534 -0.481
-3.518 -3.838 1.418
1.298 3.049 11.474
ATOMIC_POSITIONS crystal
Pr 0.500 0.500 0.725
Pr 0.500 0.500 0.275
Bi 0.000 0.500 0.500
Bi 0.500 0.500 0.000
Bi 0.500 0.000 0.500
Bi 0.000 0.000 0.753
Bi 0.000 0.000 0.247
Y 0.000 0.000 0.000
Tm 0.000 0.000 0.500
```

Density of states at the Fermi level   6.41 states/eV/f.u.
Energy of formation from the pure elements   -0.1820 eV per atom
Total moment   0.00 μB/f.u.


# 5
Computed, not measured: crystalline SrLiNd2 at its relaxed geometry at the PBE level of DFT. Values from VASP.

```
&SYSTEM
  ibrav = 0, nat = 4, ntyp = 3
/
ATOMIC_SPECIES
Li 6.94 Li.upf
Nd 144.24 Nd.upf
Sr 87.62 Sr.upf
CELL_PARAMETERS angstrom
-1.041 2.626 -2.662
-1.735 -2.787 -2.071
-7.987 1.530 4.632
ATOMIC_POSITIONS crystal
Li 0.500 0.500 0.000
Nd 0.000 0.000 0.815
Nd 0.000 0.000 0.185
Sr 0.500 0.500 0.500
```

Density of states at the Fermi level   6.76 states/eV/f.u.
Energy of formation from the pure elements   0.1647 eV per atom
Total moment   0.00 μB/f.u.
Energy relative to the lowest polymorph listed for this composition   0 meV per atom